No. 1
# CoCu2Au, optimized geometry, DFT GGA-PBEsol
data_CoCu2Au
_symmetry_space_group_name_H-M 'P 1'
_symmetry_Int_Tables_number 1
_cell_length_a 2.6376
_cell_length_b 3.5536
_cell_length_c 5.3915
_cell_angle_alpha 90.00
_cell_angle_beta 90.00
_cell_angle_gamma 90.00
loop_
_symmetry_equiv_pos_as_xyz
'x,y,z'
loop_
_atom_site_label
_atom_site_fract_x
_atom_site_fract_y
_atom_site_fract_z
_atom_site_occupancy
Au1 0.5000 0.0000 0.5033 1
Co1 0.0000 0.5000 0.7707 1
Cu1 0.5000 0.0000 0.9977 1
Cu2 0.0000 0.5000 0.2284 1
# **Mass density**: 12.6 g/cm³
# **ΔH_f (0 K)**: 60 kJ/mol of formula units
# **Space-group type**: Pmm2 (25)

***

No. 2
# Mo2PbSe, optimized geometry, DFT GGA-PBEsol
data_Mo2PbSe
_symmetry_space_group_name_H-M 'P 1'
_symmetry_Int_Tables_number 1
_cell_length_a 4.2568
_cell_length_b 4.2568
_cell_length_c 4.9569
_cell_angle_alpha 115.43
_cell_angle_beta 115.43
_cell_angle_gamma 90.00
loop_
_symmetry_equiv_pos_as_xyz
'x,y,z'
loop_
_atom_site_label
_atom_site_fract_x
_atom_site_fract_y
_atom_site_fract_z
_atom_site_occupancy
Mo1 0.0000 0.0000 0.0000 1
Mo2 0.7500 0.2500 0.5000 1
Pb1 0.5000 0.5000 0.0000 1
Se1 0.2500 0.7500 0.5000 1
# **Distance to the lowest polymorph of the same formula**: 0.349 eV/atom
# **Mass density**: 11.1 g/cm³
# **Raw formation energy**: 0.665 eV/atom
# **Space-group type**: I-4m2 (119)

***

No. 3
# BaSiPt2, optimized geometry, DFT GGA-PBEsol
data_BaSiPt2
_symmetry_space_group_name_H-M 'P 1'
_symmetry_Int_Tables_number 1
_cell_length_a 4.2157
_cell_length_b 4.2157
_cell_length_c 6.2647
_cell_angle_alpha 70.34
_cell_angle_beta 70.34
_cell_angle_gamma 60.00
loop_
_symmetry_equiv_pos_as_xyz
'x,y,z'
loop_
_atom_site_label
_atom_site_fract_x
_atom_site_fract_y
_atom_site_fract_z
_atom_site_occupancy
Si1 0.5000 0.5000 0.5000 1
Ba1 0.0000 0.0000 0.0000 1
Pt1 0.8004 0.8004 0.5988 1
Pt2 0.1996 0.1996 0.4012 1
# **Mass density**: 10.4 g/cm³
# **Raw formation energy**: -0.786 eV/atom
# **Space-group type**: R-3m (166)

***

No. 4
# Ba6Br2N3Cl, optimized geometry, DFT GGA-PBEsol
data_Ba6Br2N3Cl
_symmetry_space_group_name_H-M 'P 1'
_symmetry_Int_Tables_number 1
_cell_length_a 4.1006
_cell_length_b 4.1006
_cell_length_c 23.2679
_cell_angle_alpha 90.00
_cell_angle_beta 90.00
_cell_angle_gamma 120.00
loop_
_symmetry_equiv_pos_as_xyz
'x,y,z'
loop_
_atom_site_label
_atom_site_fract_x
_atom_site_fract_y
_atom_site_fract_z
_atom_site_occupancy
Ba1 0.6667 0.3333 0.0986 1
Ba2 0.0000 0.0000 0.7750 1
Ba3 0.3333 0.6667 0.4368 1
Ba4 0.0000 0.0000 0.2250 1
Ba5 0.3333 0.6667 0.9014 1
Ba6 0.6667 0.3333 0.5632 1
Br1 0.3333 0.6667 0.6690 1
Br2 0.6667 0.3333 0.3310 1
N1 0.3333 0.6667 0.1618 1
N2 0.6667 0.3333 0.8382 1
N3 0.0000 0.0000 0.5000 1
Cl1 0.0000 0.0000 0.0000 1
# **Distance to the lowest polymorph of the same formula**: 0.000 eV/atom
# **Mass density**: 5.2 g/cm³
# **Raw formation energy**: -1.284 eV/atom
# **Space-group type**: P-3m1 (164)

***

No. 5
# MgTl2H12Se2O14, optimized geometry, DFT GGA-PBEsol
data_MgTl2H12Se2O14
_symmetry_space_group_name_H-M 'P 1'
_symmetry_Int_Tables_number 1
_cell_length_a 6.3155
_cell_length_b 9.2108
_cell_length_c 12.3871
_cell_angle_alpha 90.00
_cell_angle_beta 90.00
_cell_angle_gamma 104.08
loop_
_symmetry_equiv_pos_as_xyz
'x,y,z'
loop_
_atom_site_label
_atom_site_fract_x
_atom_site_fract_y
_atom_site_fract_z
_atom_site_occupancy
Mg1 0.0000 0.5000 0.5000 1
Mg2 0.0000 0.0000 0.0000 1
Tl1 0.3329 0.6402 0.8391 1
Tl2 0.6671 0.8598 0.3391 1
Tl3 0.6671 0.3598 0.1609 1
Tl4 0.3329 0.1402 0.6609 1
H1 0.3197 0.7136 0.5846 1
H2 0.6803 0.7864 0.0846 1
H3 0.6803 0.2864 0.4154 1
H4 0.3197 0.2136 0.9154 1
H5 0.0925 0.7476 0.6244 1
H6 0.9075 0.7524 0.1244 1
H7 0.9075 0.2524 0.3756 1
H8 0.0925 0.2476 0.8756 1
H9 0.9208 0.2304 0.5974 1
H10 0.0792 0.2696 0.0974 1
H11 0.0792 0.7696 0.4026 1
H12 0.9208 0.7304 0.9026 1
H13 0.9951 0.3537 0.6900 1
H14 0.0049 0.1463 0.1900 1
H15 0.0049 0.6463 0.3100 1
H16 0.9951 0.8537 0.8100 1
H17 0.3392 0.3947 0.4431 1
H18 0.6608 0.1053 0.9431 1
H19 0.6608 0.6053 0.5569 1
H20 0.3392 0.8947 0.0569 1
H21 0.3340 0.5248 0.3589 1
H22 0.6660 0.9752 0.8589 1
H23 0.6660 0.4752 0.6411 1
H24 0.3340 0.0248 0.1411 1
Se1 0.7240 0.9091 0.6345 1
Se2 0.2760 0.5909 0.1345 1
Se3 0.2760 0.0909 0.3655 1
Se4 0.7240 0.4091 0.8655 1
O1 0.5620 0.9138 0.7405 1
O2 0.4380 0.5862 0.2405 1
O3 0.4380 0.0862 0.2595 1
O4 0.5620 0.4138 0.7595 1
O5 0.7641 0.0671 0.5650 1
O6 0.2359 0.4329 0.0650 1
O7 0.2359 0.9329 0.4350 1
O8 0.7641 0.5671 0.9350 1
O9 0.5937 0.7695 0.5541 1
O10 0.4063 0.7305 0.0541 1
O11 0.4063 0.2305 0.4459 1
O12 0.5937 0.2695 0.9459 1
O13 0.9618 0.8788 0.6769 1
O14 0.0382 0.6212 0.1769 1
O15 0.0382 0.1212 0.3231 1
O16 0.9618 0.3788 0.8231 1
O17 0.1660 0.6661 0.6068 1
O18 0.8340 0.8339 0.1068 1
O19 0.8340 0.3339 0.3932 1
O20 0.1660 0.1661 0.8932 1
O21 0.0221 0.3309 0.6128 1
O22 0.9779 0.1691 0.1128 1
O23 0.9779 0.6691 0.3872 1
O24 0.0221 0.8309 0.8872 1
O25 0.2879 0.4882 0.4333 1
O26 0.7121 0.0118 0.9333 1
O27 0.7121 0.5118 0.5667 1
O28 0.2879 0.9882 0.0667 1
# **Mass density**: 3.9 g/cm³
# **Electronic total energy**: -323.01 eV for the cell shown
# **Space-group type**: P2_1/c (14)

***

No. 6
# MgZr2Fe, optimized geometry, DFT GGA-PBEsol
data_MgZr2Fe
_symmetry_space_group_name_H-M 'P 1'
_symmetry_Int_Tables_number 1
_cell_length_a 3.3815
_cell_length_b 4.9478
_cell_length_c 5.3539
_cell_angle_alpha 117.52
_cell_angle_beta 108.41
_cell_angle_gamma 90.00
loop_
_symmetry_equiv_pos_as_xyz
'x,y,z'
loop_
_atom_site_label
_atom_site_fract_x
_atom_site_fract_y
_atom_site_fract_z
_atom_site_occupancy
Fe1 0.5000 0.0000 0.0000 1
Mg1 0.0000 0.5000 0.0000 1
Zr1 0.7994 0.7994 0.5988 1
Zr2 0.2006 0.2006 0.4012 1
# **Mass density**: 5.9 g/cm³
# **ΔH_f (0 K)**: 9 kJ/mol of formula units
# **Space-group type**: Immm (71)

***

No. 7
# BeI2N, optimized geometry, DFT GGA-PBEsol
data_BeI2N
_symmetry_space_group_name_H-M 'P 1'
_symmetry_Int_Tables_number 1
_cell_length_a 6.8133
_cell_length_b 6.8133
_cell_length_c 6.8133
_cell_angle_alpha 91.23
_cell_angle_beta 119.29
_cell_angle_gamma 119.29
loop_
_symmetry_equiv_pos_as_xyz
'x,y,z'
loop_
_atom_site_label
_atom_site_fract_x
_atom_site_fract_y
_atom_site_fract_z
_atom_site_occupancy
I1 0.0755 0.8750 0.4505 1
I2 0.9245 0.3750 0.7995 1
I3 0.4245 0.5495 0.6250 1
I4 0.5755 0.2005 0.1250 1
Be1 0.0000 0.5000 0.5000 1
Be2 0.5000 0.2500 0.7500 1
N1 0.0000 0.0000 0.0000 1
N2 0.5000 0.7500 0.2500 1
# **Mass density**: 4.1 g/cm³
# **Raw formation energy**: 0.935 eV/atom
# **Space-group type**: I-42d (122)

***

No. 8
# BaSbPt2, optimized geometry, DFT GGA-PBEsol
data_BaSbPt2
_symmetry_space_group_name_H-M 'P 1'
_symmetry_Int_Tables_number 1
_cell_length_a 5.0145
_cell_length_b 5.0145
_cell_length_c 5.0145
_cell_angle_alpha 60.00
_cell_angle_beta 60.00
_cell_angle_gamma 60.00
loop_
_symmetry_equiv_pos_as_xyz
'x,y,z'
loop_
_atom_site_label
_atom_site_fract_x
_atom_site_fract_y
_atom_site_fract_z
_atom_site_occupancy
Ba1 0.5000 0.5000 0.5000 1
Pt1 0.0000 0.0000 0.0000 1
Pt2 0.7500 0.7500 0.7500 1
Sb1 0.2500 0.2500 0.2500 1
# **Mass density**: 12.1 g/cm³
# **Raw formation energy**: 0.050 eV/atom
# **Space-group type**: F-43m (216)

***

No. 9
# SrSbOs2, optimized geometry, DFT GGA-PBEsol
data_SrSbOs2
_symmetry_space_group_name_H-M 'P 1'
_symmetry_Int_Tables_number 1
_cell_length_a 3.0007
_cell_length_b 4.3199
_cell_length_c 6.3967
_cell_angle_alpha 90.00
_cell_angle_beta 103.15
_cell_angle_gamma 90.00
loop_
_symmetry_equiv_pos_as_xyz
'x,y,z'
loop_
_atom_site_label
_atom_site_fract_x
_atom_site_fract_y
_atom_site_fract_z
_atom_site_occupancy
Os1 0.1333 0.0000 0.8091 1
Os2 0.8667 0.0000 0.1909 1
Sb1 0.5000 0.5000 0.0000 1
Sr1 0.5000 0.5000 0.5000 1
# **Mass density**: 12.1 g/cm³
# **Raw formation energy**: 0.782 eV/atom
# **Space-group type**: P2/m (10)

***

No. 10
# BaHfO2F, optimized geometry, DFT GGA-PBEsol
data_BaHfO2F
_symmetry_space_group_name_H-M 'P 1'
_symmetry_Int_Tables_number 1
_cell_length_a 4.6419
_cell_length_b 4.7675
_cell_length_c 4.7675
_cell_angle_alpha 90.00
_cell_angle_beta 90.00
_cell_angle_gamma 90.00
loop_
_symmetry_equiv_pos_as_xyz
'x,y,z'
loop_
_atom_site_label
_atom_site_fract_x
_atom_site_fract_y
_atom_site_fract_z
_atom_site_occupancy
Hf1 0.5000 0.5000 0.5000 1
Ba1 0.0000 0.0000 0.0000 1
O1 0.0000 0.0000 0.5000 1
O2 0.0000 0.5000 0.0000 1
F1 0.5000 0.0000 0.0000 1
# **Mass density**: 5.8 g/cm³
# **Raw formation energy**: -0.499 eV/atom
# **Space-group type**: P4/mmm (123)

***

No. 11
# RbScRhSe2, optimized geometry, DFT GGA-PBEsol
data_RbScRhSe2
_symmetry_space_group_name_H-M 'P 1'
_symmetry_Int_Tables_number 1
_cell_length_a 4.7050
_cell_length_b 5.2576
_cell_length_c 5.2576
_cell_angle_alpha 90.00
_cell_angle_beta 90.00
_cell_angle_gamma 90.00
loop_
_symmetry_equiv_pos_as_xyz
'x,y,z'
loop_
_atom_site_label
_atom_site_fract_x
_atom_site_fract_y
_atom_site_fract_z
_atom_site_occupancy
Sc1 0.0000 0.0000 0.0000 1
Rh1 0.5000 0.0000 0.0000 1
Se1 0.0000 0.0000 0.5000 1
Se2 0.0000 0.5000 0.0000 1
Rb1 0.5000 0.5000 0.5000 1
# **Mass density**: 5.0 g/cm³
# **Raw formation energy**: -0.327 eV/atom
# **Space-group type**: P4/mmm (123)

***

No. 12
# TcTe2W, optimized geometry, DFT GGA-PBEsol
data_TcTe2W
_symmetry_space_group_name_H-M 'P 1'
_symmetry_Int_Tables_number 1
_cell_length_a 3.1642
_cell_length_b 3.1642
_cell_length_c 8.6039
_cell_angle_alpha 90.00
_cell_angle_beta 90.00
_cell_angle_gamma 117.78
loop_
_symmetry_equiv_pos_as_xyz
'x,y,z'
loop_
_atom_site_label
_atom_site_fract_x
_atom_site_fract_y
_atom_site_fract_z
_atom_site_occupancy
Tc1 0.5000 0.5000 0.0000 1
Te1 0.0000 0.0000 0.2444 1
Te2 0.0000 0.0000 0.7556 1
W1 0.5000 0.5000 0.5000 1
# **Distance to the lowest polymorph of the same formula**: 0.556 eV/atom
# **Mass density**: 11.7 g/cm³
# **Raw formation energy**: 1.031 eV/atom
# **Space-group type**: Cmmm (65)

***

No. 13
# ZrFeTc, optimized geometry, DFT GGA-PBEsol
data_ZrFeTc
_symmetry_space_group_name_H-M 'P 1'
_symmetry_Int_Tables_number 1
_cell_length_a 2.7281
_cell_length_b 4.3799
_cell_length_c 4.3799
_cell_angle_alpha 120.00
_cell_angle_beta 90.00
_cell_angle_gamma 90.00
loop_
_symmetry_equiv_pos_as_xyz
'x,y,z'
loop_
_atom_site_label
_atom_site_fract_x
_atom_site_fract_y
_atom_site_fract_z
_atom_site_occupancy
Fe1 0.9807 0.0000 0.0000 1
Tc1 0.6788 0.6667 0.3333 1
Zr1 0.3405 0.3333 0.6667 1
# **Mass density**: 9.0 g/cm³
# **ΔH_f (0 K)**: 36 kJ/mol of formula units
# **Space-group type**: P3m1 (156)

***

No. 14
# NiPIO2, optimized geometry, DFT GGA-PBEsol
data_NiPIO2
_symmetry_space_group_name_H-M 'P 1'
_symmetry_Int_Tables_number 1
_cell_length_a 3.4540
_cell_length_b 3.4540
_cell_length_c 5.9723
_cell_angle_alpha 90.00
_cell_angle_beta 90.00
_cell_angle_gamma 90.00
loop_
_symmetry_equiv_pos_as_xyz
'x,y,z'
loop_
_atom_site_label
_atom_site_fract_x
_atom_site_fract_y
_atom_site_fract_z
_atom_site_occupancy
I1 0.0000 0.0000 0.5000 1
Ni1 0.5000 0.5000 0.5000 1
O1 0.0000 0.5000 0.0000 1
O2 0.5000 0.0000 0.0000 1
P1 0.0000 0.0000 0.0000 1
# **Mass density**: 5.8 g/cm³
# **Raw formation energy**: -0.302 eV/atom
# **Space-group type**: P4/mmm (123)

***

No. 15
# ScZn2As, optimized geometry, DFT GGA-PBEsol
data_ScZn2As
_symmetry_space_group_name_H-M 'P 1'
_symmetry_Int_Tables_number 1
_cell_length_a 3.5178
_cell_length_b 3.5178
_cell_length_c 5.5990
_cell_angle_alpha 90.00
_cell_angle_beta 90.00
_cell_angle_gamma 90.00
loop_
_symmetry_equiv_pos_as_xyz
'x,y,z'
loop_
_atom_site_label
_atom_site_fract_x
_atom_site_fract_y
_atom_site_fract_z
_atom_site_occupancy
As1 0.0000 0.0000 0.5251 1
Sc1 0.5000 0.5000 0.7209 1
Zn1 0.0000 0.0000 0.0373 1
Zn2 0.5000 0.5000 0.2167 1
# **Mass density**: 6.0 g/cm³
# **ΔH_f (0 K)**: -145 kJ/mol of formula units
# **Space-group type**: P4mm (99)

***

No. 16
# AsSeBr2F, optimized geometry, DFT GGA-PBEsol
data_AsSeBr2F
_symmetry_space_group_name_H-M 'P 1'
_symmetry_Int_Tables_number 1
_cell_length_a 5.1254
_cell_length_b 5.1254
_cell_length_c 5.1229
_cell_angle_alpha 90.00
_cell_angle_beta 90.00
_cell_angle_gamma 90.00
loop_
_symmetry_equiv_pos_as_xyz
'x,y,z'
loop_
_atom_site_label
_atom_site_fract_x
_atom_site_fract_y
_atom_site_fract_z
_atom_site_occupancy
As1 0.0000 0.0000 0.5000 1
Se1 0.0000 0.0000 0.0000 1
Br1 0.0000 0.5000 0.0000 1
Br2 0.5000 0.0000 0.0000 1
F1 0.5000 0.5000 0.5000 1
# **Mass density**: 4.1 g/cm³
# **Raw formation energy**: 0.341 eV/atom
# **Space-group type**: P4/mmm (123)

***

No. 17
# BeZnMo2O, optimized geometry, DFT GGA-PBEsol
data_BeZnMo2O
_symmetry_space_group_name_H-M 'P 1'
_symmetry_Int_Tables_number 1
_cell_length_a 3.4637
_cell_length_b 4.7026
_cell_length_c 4.7026
_cell_angle_alpha 90.00
_cell_angle_beta 90.00
_cell_angle_gamma 90.00
loop_
_symmetry_equiv_pos_as_xyz
'x,y,z'
loop_
_atom_site_label
_atom_site_fract_x
_atom_site_fract_y
_atom_site_fract_z
_atom_site_occupancy
Be1 0.5000 0.5000 0.5000 1
Mo1 0.0000 0.0000 0.5000 1
Mo2 0.0000 0.5000 0.0000 1
Zn1 0.0000 0.0000 0.0000 1
O1 0.5000 0.0000 0.0000 1
# **Mass density**: 6.1 g/cm³
# **Raw formation energy**: 1.617 eV/atom
# **Space-group type**: P4/mmm (123)

***

No. 18
# RuPtBr2, optimized geometry, DFT GGA-PBEsol
data_RuPtBr2
_symmetry_space_group_name_H-M 'P 1'
_symmetry_Int_Tables_number 1
_cell_length_a 3.0923
_cell_length_b 3.0923
_cell_length_c 7.0603
_cell_angle_alpha 90.00
_cell_angle_beta 90.00
_cell_angle_gamma 90.00
loop_
_symmetry_equiv_pos_as_xyz
'x,y,z'
loop_
_atom_site_label
_atom_site_fract_x
_atom_site_fract_y
_atom_site_fract_z
_atom_site_occupancy
Ru1 0.5000 0.5000 0.5000 1
Br1 0.0000 0.0000 0.7268 1
Br2 0.0000 0.0000 0.2732 1
Pt1 0.5000 0.5000 0.0000 1
# **Distance to the lowest polymorph of the same formula**: 0.483 eV/atom
# **Mass density**: 11.2 g/cm³
# **Raw formation energy**: 0.904 eV/atom
# **Space-group type**: P4/mmm (123)

***

No. 19
# WAu2Br2, optimized geometry, DFT GGA-PBEsol
data_WAu2Br2
_symmetry_space_group_name_H-M 'P 1'
_symmetry_Int_Tables_number 1
_cell_length_a 3.4903
_cell_length_b 3.4903
_cell_length_c 9.7687
_cell_angle_alpha 100.29
_cell_angle_beta 100.29
_cell_angle_gamma 90.00
loop_
_symmetry_equiv_pos_as_xyz
'x,y,z'
loop_
_atom_site_label
_atom_site_fract_x
_atom_site_fract_y
_atom_site_fract_z
_atom_site_occupancy
Au1 0.2500 0.7500 0.5000 1
Au2 0.7500 0.2500 0.5000 1
Br1 0.4198 0.4198 0.8396 1
Br2 0.5802 0.5802 0.1604 1
W1 0.0000 0.0000 0.0000 1
# **Mass density**: 10.6 g/cm³
# **Raw formation energy**: 0.919 eV/atom
# **Space-group type**: I4/mmm (139)

***

No. 20
# Ge2PbAu2, optimized geometry, DFT GGA-PBEsol
data_Ge2PbAu2
_symmetry_space_group_name_H-M 'P 1'
_symmetry_Int_Tables_number 1
_cell_length_a 4.1386
_cell_length_b 4.1386
_cell_length_c 6.7293
_cell_angle_alpha 107.91
_cell_angle_beta 107.91
_cell_angle_gamma 90.00
loop_
_symmetry_equiv_pos_as_xyz
'x,y,z'
loop_
_atom_site_label
_atom_site_fract_x
_atom_site_fract_y
_atom_site_fract_z
_atom_site_occupancy
Pb1 0.0000 0.0000 0.0000 1
Ge1 0.2500 0.7500 0.5000 1
Ge2 0.7500 0.2500 0.5000 1
Au1 0.3880 0.3880 0.7760 1
Au2 0.6120 0.6120 0.2240 1
# **Mass density**: 11.9 g/cm³
# **ΔH_f (0 K)**: 6 kJ/mol of formula units
# **Space-group type**: I4/mmm (139)